No. 1
The following is a DFT calculation (PBE) of crystalline LiPmPrSe3 at its relaxed geometry.

Cell lengths 4.074, 8.657, 8.948 Å; angles 102.29, 90.00, 90.00 degrees
Positions (direct):
1 Pr 0.250 0.184 0.223
2 Pr 0.750 0.816 0.777
3 Se 0.250 0.093 0.869
4 Se 0.750 0.214 0.496
5 Se 0.250 0.786 0.504
6 Se 0.250 0.576 0.824
7 Se 0.750 0.907 0.131
8 Se 0.750 0.424 0.176
9 Pm 0.750 0.337 0.835
10 Pm 0.250 0.663 0.165
11 Li 0.750 0.915 0.415
12 Li 0.250 0.085 0.585

Properties
- DFT total energy (eV per cell) = -64.0
- SG = No. 11
- crystal system = monoclinic
- uncorrected formation energy (eV per atom) = -1.683


No. 2
The following is a DFT calculation (PBE) of crystalline LiPm2Pr3Se6 at its relaxed geometry.

Cell lengths 7.273, 7.273, 7.300 Å; angles 99.61, 99.61, 120.18 degrees
Positions (direct):
1 Se 0.758 0.758 0.237
2 Se 0.921 0.598 0.762
3 Se 0.598 0.921 0.762
4 Se 0.242 0.242 0.763
5 Se 0.402 0.079 0.238
6 Se 0.079 0.402 0.238
7 Li 0.000 0.000 0.000
8 Pr 0.168 0.832 0.500
9 Pr 0.832 0.168 0.500
10 Pr 0.500 0.500 0.500
11 Pm 0.335 0.665 0.000
12 Pm 0.665 0.335 0.000

Properties
- DFT total energy (eV per cell) = -68.2
- SG = No. 12
- crystal system = monoclinic
- uncorrected formation energy (eV per atom) = -1.797


No. 3
The following is a DFT calculation (PBE) of crystalline Li2PmPrSe4 at its relaxed geometry.

Cell lengths 4.210, 7.289, 6.966 Å; angles 110.36, 90.00, 90.00 degrees
Positions (direct):
1 Pm 0.500 0.500 0.000
2 Se 0.000 0.750 0.259
3 Se 0.000 0.250 0.741
4 Se 0.500 0.744 0.739
5 Se 0.500 0.256 0.261
6 Pr 0.000 0.000 0.000
7 Li 0.000 0.500 0.500
8 Li 0.500 0.000 0.500

Properties
- DFT total energy (eV per cell) = -40.6
- SG = No. 10
- crystal system = monoclinic
- uncorrected formation energy (eV per atom) = -1.662


> What is the uncorrected formation energy in the third record?

-1.662 eV per atom


> The lowest DFT total energy belongs to which entry?

LiPm2Pr3Se6


> Among the records above, which one has the highest uncorrected formation energy?

Li2PmPrSe4


> The lowest uncorrected formation energy belongs to which entry?

LiPm2Pr3Se6